--- P ---
! Pr3Nd5Er3, optimized geometry, DFT GGA-PBE; values from VASP
! Density = 7.0 g/cm3
! M_tot = 0.0 μB/f.u.
&SYSTEM
  ibrav = 0, nat = 11, ntyp = 3
/
ATOMIC_SPECIES
Nd 144.24 Nd.upf
Er 167.26 Er.upf
Pr 140.91 Pr.upf
CELL_PARAMETERS angstrom
3.5100 0.0000 0.0000
0.0000 11.3432 0.0000
0.0000 -5.6716 9.8235
ATOMIC_POSITIONS angstrom
Nd 1.7550 5.6716 3.2745
Nd 1.7550 9.5062 0.0000
Er 0.0000 6.7336 0.0000
Er 0.0000 -3.3668 5.8315
Pr 1.7550 3.7318 6.4637
Nd 1.7550 -4.7531 8.2326
Pr 1.7550 3.8796 0.0000
Nd 1.7550 0.9185 1.5909
Nd 1.7550 0.0000 6.5490
Er 0.0000 2.3048 3.9920
Pr 1.7550 -1.9398 3.3598

=====

--- Q ---
! Pr3Nd5Er3, optimized geometry, DFT GGA-PBE; values from VASP
! Density = 6.9 g/cm3
! M_tot = 0.0 μB/f.u.
&SYSTEM
  ibrav = 0, nat = 11, ntyp = 3
/
ATOMIC_SPECIES
Er 167.26 Er.upf
Pr 140.91 Pr.upf
Nd 144.24 Nd.upf
CELL_PARAMETERS angstrom
3.4725 0.0000 0.0000
0.0000 9.9039 -5.7180
0.0000 0.0000 11.4360
ATOMIC_POSITIONS angstrom
Er 1.7363 8.3365 -4.8131
Pr 0.0000 5.9183 -3.4169
Nd 1.7363 0.0000 3.8431
Pr 0.0000 3.9856 2.3011
Pr 0.0000 0.0000 6.8339
Nd 1.7363 3.3013 5.7180
Er 1.7363 0.0000 9.6261
Nd 1.7363 6.5757 3.7965
Nd 1.7363 6.6026 0.0000
Er 1.7363 1.5674 0.9049
Nd 1.7363 3.3282 -1.9215

=====

Question: which arrangement is favored energetically? Ranking from most to least stable: P, Q.

=====

--- P ---
! Pr3Nd4Er5, optimized geometry, DFT GGA-PBE; values from VASP
! Density = 7.4 g/cm3
! M_tot = 0.0 μB/f.u.
&SYSTEM
  ibrav = 0, nat = 12, ntyp = 3
/
ATOMIC_SPECIES
Nd 144.24 Nd.upf
Er 167.26 Er.upf
Pr 140.91 Pr.upf
CELL_PARAMETERS angstrom
6.0183 0.0000 0.0000
3.0092 7.6311 -2.6634
3.0092 -0.8838 9.2537
ATOMIC_POSITIONS angstrom
Nd 9.0275 7.0209 0.9795
Er 3.0092 3.3903 -0.1395
Er 9.0275 3.3570 6.7298
Er 3.0092 0.2605 1.6732
Nd 6.0183 5.0929 6.6987
Pr 6.0183 1.7375 5.9892
Er 6.0183 3.3736 3.2952
Er 9.0275 6.4867 4.9171
Nd 3.0092 -0.2736 5.6108
Nd 6.0183 1.6544 -0.1084
Pr 3.0092 3.3736 3.2952
Pr 6.0183 5.0098 0.6011

=====

--- Q ---
! Pr3Nd4Er5, optimized geometry, DFT GGA-PBE; values from VASP
! Density = 7.6 g/cm3
! M_tot = 0.0 μB/f.u.
&SYSTEM
  ibrav = 0, nat = 12, ntyp = 3
/
ATOMIC_SPECIES
Er 167.26 Er.upf
Nd 144.24 Nd.upf
Pr 140.91 Pr.upf
CELL_PARAMETERS angstrom
1.5906 -2.2692 6.6763
-7.1538 -4.5536 -7.6740
11.8311 1.0840 5.3699
ATOMIC_POSITIONS angstrom
Er 8.6494 -1.7540 3.1970
Nd -0.1633 -1.7521 -0.5619
Pr 2.5944 -4.0359 -0.0332
Nd 2.8791 -0.5682 1.0798
Er 5.6482 -2.8691 1.5829
Nd 3.3888 -5.1706 3.2923
Er -2.3816 -3.9848 1.1750
Pr 5.9155 0.5420 2.6849
Er 6.7108 -0.5926 6.0231
Pr 3.6735 -1.7029 4.4053
Nd 6.4312 -3.9867 4.9340
Er 0.6197 -2.8697 2.7892

=====

Question: which arrangement is favored energetically? Ranking from most to least stable: Q, P.

=====

--- P ---
! PrNdEr2, optimized geometry, DFT GGA-PBE; values from VASP
! Density = 7.8 g/cm3
! M_tot = 0.0 μB/f.u.
&SYSTEM
  ibrav = 0, nat = 4, ntyp = 3
/
ATOMIC_SPECIES
Er 167.26 Er.upf
Pr 140.91 Pr.upf
Nd 144.24 Nd.upf
CELL_PARAMETERS angstrom
-3.4000 -1.2708 0.1756
0.9763 -1.8065 5.8291
-2.1563 5.7899 0.1512
ATOMIC_POSITIONS angstrom
Er -1.0781 2.8949 0.0756
Er 0.4882 -0.9033 2.9145
Pr -1.7000 -0.6354 0.0878
Nd -2.2900 1.3563 3.0780

=====

--- Q ---
! PrNdEr2, optimized geometry, DFT GGA-PBE; values from VASP
! Density = 7.8 g/cm3
! M_tot = 0.0 μB/f.u.
&SYSTEM
  ibrav = 0, nat = 4, ntyp = 3
/
ATOMIC_SPECIES
Er 167.26 Er.upf
Nd 144.24 Nd.upf
Pr 140.91 Pr.upf
CELL_PARAMETERS angstrom
-1.1333 -2.5432 2.2973
2.3934 -2.1513 1.6351
1.2282 6.0177 10.1039
ATOMIC_POSITIONS angstrom
Er 1.8670 0.9999 10.5359
Nd 0.0000 0.0000 0.0000
Pr 1.2442 0.6616 7.0181
Er 0.6213 0.3233 3.5004

=====

Question: which arrangement is favored energetically? Ranking from most to least stable: Q, P.

=====

--- P ---
! PrNdEr2, optimized geometry, DFT GGA-PBE; values from VASP
! Density = 7.8 g/cm3
! M_tot = 0.0 μB/f.u.
&SYSTEM
  ibrav = 0, nat = 4, ntyp = 3
/
ATOMIC_SPECIES
Er 167.26 Er.upf
Nd 144.24 Nd.upf
Pr 140.91 Pr.upf
CELL_PARAMETERS angstrom
-2.2548 -0.3277 -2.8093
-3.3565 -1.2478 0.5109
-5.6561 10.3812 1.0000
ATOMIC_POSITIONS angstrom
Er -4.7207 7.6862 0.5636
Nd -3.7435 -1.0429 -1.5311
Er -2.8091 2.1791 -0.3282
Pr -5.6279 4.3862 -0.6519

=====

--- Q ---
! PrNdEr2, optimized geometry, DFT GGA-PBE; values from VASP
! Density = 7.3 g/cm3
! M_tot = 0.0 μB/f.u.
&SYSTEM
  ibrav = 0, nat = 8, ntyp = 3
/
ATOMIC_SPECIES
Pr 140.91 Pr.upf
Er 167.26 Er.upf
Nd 144.24 Nd.upf
CELL_PARAMETERS angstrom
-3.3377 -12.3776 -1.8814
-2.4886 -3.8055 3.4000
-5.8420 -0.4061 0.0099
ATOMIC_POSITIONS angstrom
Pr -5.3723 -5.0790 1.0977
Er -2.6639 -2.6148 1.1056
Nd -3.5163 -10.1074 -0.7047
Er -6.6642 -8.0447 -0.6921
Nd -8.1520 -6.4819 2.2332
Er -5.0041 -8.5446 2.2206
Er -9.0043 -13.9745 0.4230
Pr -6.2960 -11.5103 0.4309

=====

Question: which arrangement is favored energetically? Ranking from most to least stable: P, Q.

=====

--- P ---
! PrNdEr2, optimized geometry, DFT GGA-PBE; values from VASP
! Density = 7.7 g/cm3
! M_tot = 0.0 μB/f.u.
&SYSTEM
  ibrav = 0, nat = 4, ntyp = 3
/
ATOMIC_SPECIES
Er 167.26 Er.upf
Pr 140.91 Pr.upf
Nd 144.24 Nd.upf
CELL_PARAMETERS angstrom
5.7353 0.0000 0.0000
2.8676 4.9669 0.0000
2.8676 1.6556 4.6829
ATOMIC_POSITIONS angstrom
Er 8.6029 4.9669 3.5121
Pr 0.0000 0.0000 0.0000
Er 2.8676 1.6556 1.1707
Nd 5.7353 3.3113 2.3414

=====

--- Q ---
! PrNdEr2, optimized geometry, DFT GGA-PBE; values from VASP
! Density = 7.8 g/cm3
! M_tot = 0.0 μB/f.u.
&SYSTEM
  ibrav = 0, nat = 4, ntyp = 3
/
ATOMIC_SPECIES
Nd 144.24 Nd.upf
Pr 140.91 Pr.upf
Er 167.26 Er.upf
CELL_PARAMETERS angstrom
5.0105 0.0000 0.0000
0.0000 5.1313 0.0000
0.0000 0.0000 5.1313
ATOMIC_POSITIONS angstrom
Nd 2.5053 0.0000 0.0000
Pr 2.5053 2.5656 2.5656
Er 0.0000 2.5656 0.0000
Er 0.0000 0.0000 2.5656

=====

Question: which arrangement is favored energetically? Ranking from most to least stable: Q, P.

=====

--- P ---
! Pr7NdEr2, optimized geometry, DFT GGA-PBE; values from VASP
! Density = 7.0 g/cm3
! M_tot = 0.0 μB/f.u.
&SYSTEM
  ibrav = 0, nat = 10, ntyp = 3
/
ATOMIC_SPECIES
Pr 140.91 Pr.upf
Er 167.26 Er.upf
Nd 144.24 Nd.upf
CELL_PARAMETERS angstrom
6.3056 0.8649 0.2534
1.0115 9.2202 -2.8688
0.8582 -0.2982 6.2661
ATOMIC_POSITIONS angstrom
Pr 3.6585 5.0426 -1.3077
Pr 5.0279 1.3641 3.6308
Pr 1.5973 2.6340 4.1692
Er 2.3904 5.5043 2.0848
Pr 2.8809 2.1672 0.7862
Er 5.7848 4.2826 1.5659
Nd 0.0000 0.0000 0.0000
Pr 5.2943 7.6196 2.8645
Pr 6.5779 7.1529 -0.5184
Pr 3.1473 8.4228 0.0199

=====

--- Q ---
! Pr7NdEr2, optimized geometry, DFT GGA-PBE; values from VASP
! Density = 5.7 g/cm3
! M_tot = 0.0 μB/f.u.
&SYSTEM
  ibrav = 0, nat = 10, ntyp = 3
/
ATOMIC_SPECIES
Pr 140.91 Pr.upf
Er 167.26 Er.upf
Nd 144.24 Nd.upf
CELL_PARAMETERS angstrom
5.8002 0.0000 0.0000
0.0000 9.2939 -0.4105
0.0000 -4.5594 8.1091
ATOMIC_POSITIONS angstrom
Pr 2.9001 2.3673 3.8493
Pr 2.9001 2.4636 0.3966
Pr 2.9001 5.4920 5.3210
Pr 2.9001 2.2710 7.3020
Pr 2.9001 -0.7575 2.3776
Er 2.9001 5.1947 2.1105
Pr 0.0000 6.1083 1.5485
Pr 0.0000 -1.3738 6.1501
Nd 0.0000 0.0000 0.0000
Er 2.9001 -0.4601 5.5881

=====

Question: which arrangement is favored energetically? Ranking from most to least stable: P, Q.

=====

--- P ---
! Pr4Nd3Er4, optimized geometry, DFT GGA-PBE; values from VASP
! Density = 7.3 g/cm3
! M_tot = 0.0 μB/f.u.
&SYSTEM
  ibrav = 0, nat = 11, ntyp = 3
/
ATOMIC_SPECIES
Er 167.26 Er.upf
Nd 144.24 Nd.upf
Pr 140.91 Pr.upf
CELL_PARAMETERS angstrom
5.7728 0.0000 0.0000
-2.8864 6.0609 0.0000
0.0000 0.0000 10.8484
ATOMIC_POSITIONS angstrom
Er 0.0000 1.2796 3.3111
Nd 0.0000 3.0627 0.0000
Er 2.8864 1.3166 5.4242
Er 2.8864 0.6753 0.0000
Pr 2.8864 4.6291 5.4242
Nd 0.0000 4.9958 7.7160
Pr 2.8864 3.0586 2.3024
Nd 0.0000 4.9958 3.1324
Pr 2.8864 3.0586 8.5460
Er 0.0000 1.2796 7.5373
Pr 2.8864 5.5713 0.0000

=====

--- Q ---
! Pr4Nd3Er4, optimized geometry, DFT GGA-PBE; values from VASP
! Density = 7.4 g/cm3
! M_tot = 0.0 μB/f.u.
&SYSTEM
  ibrav = 0, nat = 11, ntyp = 3
/
ATOMIC_SPECIES
Er 167.26 Er.upf
Nd 144.24 Nd.upf
Pr 140.91 Pr.upf
CELL_PARAMETERS angstrom
-2.3377 2.6201 -0.9634
1.6721 -0.2894 -4.8314
-13.4911 -14.9687 -1.0651
ATOMIC_POSITIONS angstrom
Er -7.5129 -7.5021 -2.1544
Nd -13.4909 -14.9686 -1.0651
Er -2.5405 -2.5360 -0.7272
Pr -5.0668 -5.0588 -1.4506
Nd -10.0395 -10.0253 -2.8789
Er -6.6435 -5.1361 -4.7056
Pr -1.6173 -0.1163 -3.2651
Pr -9.0898 -7.5795 -5.4095
Er -11.6161 -10.1021 -6.1329
Nd -4.1172 -2.6130 -3.9811
Pr -12.5391 -12.5215 -3.5949

=====

Question: which arrangement is favored energetically? Ranking from most to least stable: Q, P.

=====

--- P ---
! Pr3Nd2Er8, optimized geometry, DFT GGA-PBE; values from VASP
! Density = 8.1 g/cm3
! M_tot = 0.0 μB/f.u.
&SYSTEM
  ibrav = 0, nat = 13, ntyp = 3
/
ATOMIC_SPECIES
Pr 140.91 Pr.upf
Er 167.26 Er.upf
Nd 144.24 Nd.upf
CELL_PARAMETERS angstrom
-2.5165 2.7636 4.9675
5.3049 -2.0007 2.4981
6.6367 8.9962 -1.6935
ATOMIC_POSITIONS angstrom
Pr 0.3932 1.7335 3.1151
Er 2.8589 8.4016 3.2285
Er 6.1184 9.0720 4.5064
Nd 4.5233 4.0246 1.3257
Er 3.3067 0.6870 1.2657
Er 3.6737 2.4119 4.3852
Er 1.6247 5.0750 3.1705
Er 6.5662 1.3575 2.5436
Nd 4.9017 5.7344 4.4464
Pr 0.0000 0.0000 0.0000
Er 5.7514 7.3472 1.3869
Pr 9.0319 8.0255 2.6570
Er 7.8004 4.6841 2.6016

=====

--- Q ---
! Pr3Nd2Er8, optimized geometry, DFT GGA-PBE; values from VASP
! Density = 7.7 g/cm3
! M_tot = 0.0 μB/f.u.
&SYSTEM
  ibrav = 0, nat = 13, ntyp = 3
/
ATOMIC_SPECIES
Er 167.26 Er.upf
Nd 144.24 Nd.upf
Pr 140.91 Pr.upf
CELL_PARAMETERS angstrom
5.5674 0.0000 0.7348
0.0000 7.7024 0.0000
-1.3525 -3.8512 10.1657
ATOMIC_POSITIONS angstrom
Er -0.4408 3.8512 3.3690
Nd 2.0935 3.8512 5.6330
Er 2.4917 5.4697 2.5802
Er 4.6557 0.0000 7.5315
Pr 0.0000 5.4384 0.0000
Er 1.7232 -1.6186 8.3203
Er 1.7232 1.6186 8.3203
Er -0.9914 3.8512 7.4785
Er 2.4917 2.2326 2.5802
Pr 2.7837 0.0000 0.3674
Nd 2.1214 0.0000 5.2675
Pr 0.0000 2.2640 0.0000
Er 5.2063 0.0000 3.4220

=====

Question: which arrangement is favored energetically? Ranking from most to least stable: P, Q.

=====

--- P ---
! Pr8Nd2Er, optimized geometry, DFT GGA-PBE; values from VASP
! Density = 6.6 g/cm3
! M_tot = 0.0 μB/f.u.
&SYSTEM
  ibrav = 0, nat = 11, ntyp = 3
/
ATOMIC_SPECIES
Pr 140.91 Pr.upf
Nd 144.24 Nd.upf
Er 167.26 Er.upf
CELL_PARAMETERS angstrom
5.8255 1.6791 0.0000
2.6933 8.8612 0.0000
1.3466 4.4306 8.4042
ATOMIC_POSITIONS angstrom
Pr 5.6596 6.3280 0.0000
Pr 5.3698 3.2808 1.9494
Nd 2.6933 8.8612 5.1805
Nd 1.3466 4.4306 3.2236
Pr 6.7164 7.7114 6.4548
Pr 4.4956 11.6900 6.4548
Er 2.9128 0.8395 0.0000
Pr 4.2594 5.2701 4.9556
Pr 2.8592 4.2122 0.0000
Pr 5.6060 9.7007 3.4486
Pr 3.1490 7.2595 1.9494

=====

--- Q ---
! Pr8Nd2Er, optimized geometry, DFT GGA-PBE; values from VASP
! Density = 6.6 g/cm3
! M_tot = 0.0 μB/f.u.
&SYSTEM
  ibrav = 0, nat = 11, ntyp = 3
/
ATOMIC_SPECIES
Pr 140.91 Pr.upf
Nd 144.24 Nd.upf
Er 167.26 Er.upf
CELL_PARAMETERS angstrom
6.3433 1.1979 2.3188
1.9676 8.5370 5.6278
1.4606 3.0555 9.8466
ATOMIC_POSITIONS angstrom
Pr 3.3576 5.7639 10.5980
Pr 6.6714 7.7513 10.8733
Pr 3.5982 8.3650 8.5961
Nd 3.3381 2.7458 3.9689
Nd 6.4334 10.0445 13.8243
Pr 3.1002 5.0391 6.9200
Pr 6.4139 7.0264 7.1953
Pr 3.6632 8.9712 12.0968
Pr 6.1083 3.8191 5.6964
Pr 6.1733 4.4253 9.1972
Er 0.0000 0.0000 0.0000

=====

Question: which arrangement is favored energetically? Ranking from most to least stable: P, Q.

=====

--- P ---
! Pr3NdEr, optimized geometry, DFT GGA-PBE; values from VASP
! Density = 6.7 g/cm3
! M_tot = 0.0 μB/f.u.
&SYSTEM
  ibrav = 0, nat = 10, ntyp = 3
/
ATOMIC_SPECIES
Pr 140.91 Pr.upf
Nd 144.24 Nd.upf
Er 167.26 Er.upf
CELL_PARAMETERS angstrom
-0.9654 -2.4632 7.7753
5.1318 -5.5392 3.2306
3.7609 4.6080 1.9268
ATOMIC_POSITIONS angstrom
Pr 3.8143 -2.6495 3.9635
Nd 1.7761 -0.4534 2.6897
Er 4.2023 0.8024 5.0946
Er 3.7251 -4.1968 7.8380
Nd 6.1512 -2.9409 10.2430
Pr 0.0000 0.0000 0.0000
Pr 1.8804 2.3040 0.9634
Pr 4.1130 -0.7448 8.9691
Pr 1.3872 -1.4251 5.7726
Pr 6.5401 -1.9692 7.1600

=====

--- Q ---
! Pr3NdEr, optimized geometry, DFT GGA-PBE; values from VASP
! Density = 6.9 g/cm3
! M_tot = 0.0 μB/f.u.
&SYSTEM
  ibrav = 0, nat = 10, ntyp = 3
/
ATOMIC_SPECIES
Pr 140.91 Pr.upf
Er 167.26 Er.upf
Nd 144.24 Nd.upf
CELL_PARAMETERS angstrom
6.4404 0.0000 -2.4919
-0.8020 5.7348 -2.0729
-0.0252 0.1759 9.5035
ATOMIC_POSITIONS angstrom
Pr 4.9665 5.2269 -1.1750
Er 2.3088 4.1705 5.9672
Pr 1.9765 5.2269 -0.0181
Pr 4.5510 3.1097 2.1934
Pr 3.6367 0.6838 4.9568
Pr 0.6467 0.6838 6.1137
Nd 0.0000 0.0000 0.0000
Nd -0.4010 2.8674 -1.0364
Er 3.3044 1.7402 -1.0285
Pr 1.0622 2.8009 2.7453

=====

Question: which arrangement is favored energetically? Ranking from most to least stable: Q, P.

=====

--- P ---
! Pr7NdEr3, optimized geometry, DFT GGA-PBE; values from VASP
! Density = 6.9 g/cm3
! M_tot = 0.0 μB/f.u.
&SYSTEM
  ibrav = 0, nat = 11, ntyp = 3
/
ATOMIC_SPECIES
Pr 140.91 Pr.upf
Er 167.26 Er.upf
Nd 144.24 Nd.upf
CELL_PARAMETERS angstrom
6.4528 0.0349 -0.6097
-0.6500 7.8213 0.4430
0.0855 0.6797 7.8319
ATOMIC_POSITIONS angstrom
Pr 4.5065 3.3761 0.2902
Er 6.4151 1.9100 5.9855
Er 3.2264 0.0175 -0.3048
Pr 1.1233 7.6696 4.7784
Pr -0.2822 4.2505 4.1374
Pr 4.7649 0.8663 2.8868
Pr 4.6330 6.5359 5.8567
Nd 2.9441 4.2680 3.8326
Pr 1.3818 5.1599 7.3749
Er -0.5269 6.6260 1.6797
Pr 1.2552 2.0001 1.8085

=====

--- Q ---
! Pr7NdEr3, optimized geometry, DFT GGA-PBE; values from VASP
! Density = 6.8 g/cm3
! M_tot = 0.0 μB/f.u.
&SYSTEM
  ibrav = 0, nat = 11, ntyp = 3
/
ATOMIC_SPECIES
Er 167.26 Er.upf
Pr 140.91 Pr.upf
Nd 144.24 Nd.upf
CELL_PARAMETERS angstrom
8.7085 0.0000 0.0000
0.0000 7.2749 0.0000
0.0000 -3.6375 6.3003
ATOMIC_POSITIONS angstrom
Er 6.8176 1.8166 3.1514
Pr 4.0207 3.6375 4.2038
Pr 0.9128 -1.8204 5.2512
Pr 0.9128 1.8204 5.2512
Pr 4.0207 5.4593 1.0483
Er 6.8176 0.0000 6.2978
Pr 4.0207 1.8156 1.0483
Pr 1.0967 3.6375 2.1001
Pr 0.9128 0.0000 2.0981
Nd 3.8404 0.0000 4.2002
Er 6.8176 -1.8166 3.1514

=====

Question: which arrangement is favored energetically? Ranking from most to least stable: Q, P.